# 1
# LiBeAs2, optimized geometry, DFT GGA-PBE
data_LiBeAs2
_cell_length_a 3.1220
_cell_length_b 3.6952
_cell_length_c 5.7444
_cell_angle_alpha 90.00
_cell_angle_beta 90.13
_cell_angle_gamma 90.00
_symmetry_space_group_name_H-M 'P 1 2/m 1'
_symmetry_Int_Tables_number 10
loop_
_symmetry_equiv_pos_as_xyz
'x,y,z'
'-x,-y,-z'
'-x,y,-z'
'x,-y,z'
loop_
_atom_site_label
_atom_site_type_symbol
_atom_site_fract_x
_atom_site_fract_y
_atom_site_fract_z
Li1 Li 0.0000 0.0000 0.0000
Be1 Be 0.5000 0.0000 0.5000
As1 As 0.4994 0.5000 0.7450
# total moment	0.000	μB per atom
# raw total energy	-15.3	eV/cell
# offset from the most stable computed form	130	meV/atom
# formation enthalpy at 0 K	-0.33	eV per formula unit

=====

# 2
# LiBe2As, optimized geometry, DFT GGA-PBE
data_LiBe2As
_cell_length_a 9.0332
_cell_length_b 2.6139
_cell_length_c 4.2074
_cell_angle_alpha 90.00
_cell_angle_beta 93.25
_cell_angle_gamma 90.00
_symmetry_space_group_name_H-M 'C 1 2/m 1'
_symmetry_Int_Tables_number 12
loop_
_symmetry_equiv_pos_as_xyz
'x,y,z'
'-x,-y,-z'
'-x,y,-z'
'x,-y,z'
'x+1/2,y+1/2,z'
'-x+1/2,-y+1/2,-z'
'-x+1/2,y+1/2,-z'
'x+1/2,-y+1/2,z'
loop_
_atom_site_label
_atom_site_type_symbol
_atom_site_fract_x
_atom_site_fract_y
_atom_site_fract_z
Li1 Li 0.0000 0.0000 0.0000
Be1 Be 0.2460 0.5000 0.2515
As1 As 0.0000 0.5000 0.5000
# total moment	0.000	μB per atom
# raw total energy	-26.8	eV/cell
# offset from the most stable computed form	73	meV/atom
# formation enthalpy at 0 K	0.60	eV per formula unit